Entry 1:
4
Lattice="5.011 -0.014 0.000 1.639 4.736 0.000 -3.325 -2.361 2.913" Properties=species:S:1:pos:R:3 comment="Ta2CdOs, relaxed, DFT PBE-GGA" vol_a3_per_atom=17.30 space_group="I4/mmm (139)" magnetic_moment_mub_per_fu=0.000 e_tot_ev_per_cell=-34.991 dos_ef_per_ev_atom=0.658 pbc="T T T"
Cd 0.819 2.368 1.456
Ta 0.000 0.000 0.000
Ta 3.325 2.361 0.000
Os 2.506 -0.007 1.456

=====

Entry 2:
8
Lattice="-1.985 -0.297 3.566 1.578 -6.744 0.318 5.114 3.767 3.160" Properties=species:S:1:pos:R:3 comment="Ca2ThScP4, relaxed, DFT PBE-GGA" vol_a3_per_atom=23.74 space_group="P2/m (10)" magnetic_moment_mub_per_fu=0.000 e_tot_ev_per_cell=-49.255 dos_ef_per_ev_atom=0.838 pbc="T T T"
P 4.173 -2.427 4.470
P 0.534 -0.847 2.575
Ca 1.564 1.735 3.363
Th -0.204 -3.520 1.942
P 4.288 1.252 2.492
Ca 3.346 -1.489 1.739
P 2.404 -4.230 0.987
Sc 0.000 0.000 0.000

=====

Entry 3:
30
Lattice="-1.896 -3.206 -3.939 6.237 2.014 -4.640 8.610 -6.327 1.005" Properties=species:S:1:pos:R:3 comment="Si2Ag6O7, relaxed, DFT PBE-GGA" vol_a3_per_atom=14.13 space_group="P2/c (13)" magnetic_moment_mub_per_fu=0.000 dos_ef_per_ev_atom=0.079 raw_formation_energy_ev_per_fu=-16.7 pbc="T T T"
O 5.440 -3.021 -1.201
Ag 6.108 -1.956 -3.184
Si 11.922 -4.686 -3.872
O 7.437 -2.088 -5.108
O 1.465 -1.836 -2.439
O 7.512 -4.498 -6.374
Ag 6.738 -7.806 -2.238
Ag 6.214 0.287 -5.337
O 0.543 -4.304 -3.094
O 5.134 -3.311 -5.896
Si 6.711 -3.055 -6.257
Ag 8.865 -3.413 -3.790
Ag 9.451 -6.748 -4.682
O 5.515 -5.431 -2.467
Si 1.030 -2.833 -3.703
O 11.486 -5.683 -5.136
Ag 9.118 -6.041 -1.773
Si 6.241 -4.465 -1.318
Ag 9.697 -4.267 -6.542
O 8.378 -8.496 -3.538
O 4.573 0.976 -4.037
O 6.172 -5.229 0.159
Ag 3.501 -0.772 -2.893
Ag 3.255 -3.252 -1.033
O 2.298 -3.098 -4.705
O 10.654 -4.421 -2.870
Ag 3.834 -1.478 -5.802
Ag 4.086 -4.106 -3.785
Ag 6.843 -5.563 -4.391
O 7.817 -4.208 -1.679

=====

Entry 4:
4
Lattice="-4.756 -0.500 1.923 -3.140 -3.664 -1.810 -1.178 -4.067 2.938" Properties=species:S:1:pos:R:3 comment="AcSmIrPd, relaxed, DFT PBE-GGA" vol_a3_per_atom=24.20 space_group="F-43m (216)" magnetic_moment_mub_per_fu=0.000 e_tot_ev_per_cell=-25.513 dos_ef_per_ev_atom=0.679 pbc="T T T"
Pd -4.536 -4.115 1.525
Sm -2.268 -2.058 0.763
Ir 0.000 0.000 0.000
Ac -6.805 -6.173 2.288

=====

Entry 5:
8
Lattice="3.941 0.000 0.000 0.000 6.837 0.134 0.000 -2.376 6.393" Properties=species:S:1:pos:R:3 comment="PmEr2ZrP4, relaxed, DFT PBE-GGA" vol_a3_per_atom=21.69 space_group="P2/m (10)" magnetic_moment_mub_per_fu=0.001 e_tot_ev_per_cell=-56.213 dos_ef_per_ev_atom=0.195 pbc="T T T"
P 1.971 3.418 4.934
Pm 1.971 3.419 0.067
Er 1.971 -1.188 3.197
Zr 0.000 0.000 0.000
P 0.000 4.613 1.711
P 1.971 1.043 1.593
P 0.000 -0.151 4.815
Er 0.000 2.231 3.263

=====

Entry 6:
9
Lattice="-3.922 4.331 2.890 2.659 -1.444 5.774 4.633 2.717 -5.135" Properties=species:S:1:pos:R:3 comment="Li4USe4, relaxed, DFT PBE-GGA" vol_a3_per_atom=27.52 space_group="I-42m (121)" magnetic_moment_mub_per_fu=2.000 dos_ef_per_ev_atom=0.877 raw_formation_energy_ev_per_fu=-9.0 pbc="T T T"
U 0.000 0.000 0.000
Se 3.329 2.375 -2.843
Se 2.070 0.989 4.877
Li -1.961 2.165 1.445
Se 2.676 3.868 1.637
Li 1.073 3.215 3.990
Li 1.330 -0.722 2.887
Se -1.334 3.975 3.385
Li 2.298 2.389 -0.461